First-principles (PBE-GGA) data for Na2UInO6 after structural relaxation, as listed in Alexandria via LeMat-Bulk.

Unit cell a=5.728 b=5.835 c=9.971 alpha=90.00 beta=124.92 gamma=90.00
Space group P2_1/c (No. 14)
Unique sites:
Na: 0.241 0.037 0.249 (multiplicity 4)
U: 0.500 0.000 0.000 (multiplicity 2)
In: 0.000 0.000 0.500 (multiplicity 2)
O: 0.162 0.197 0.954 (multiplicity 4)
O: 0.257 0.711 0.950 (multiplicity 4)
O: 0.350 0.031 0.757 (multiplicity 4)

***

First-principles (PBE-GGA) data for NaUIn2O8 after structural relaxation, as listed in Alexandria via LeMat-Bulk.

Unit cell a=4.242 b=6.764 c=5.729 alpha=90.00 beta=95.42 gamma=90.00
Space group P2/m (No. 10)
Unique sites:
Na: 0.000 0.000 0.000 (multiplicity 1)
U: 0.000 0.500 0.000 (multiplicity 1)
In: 0.500 0.257 0.500 (multiplicity 2)
O: 0.159 0.000 0.570 (multiplicity 2)
O: 0.217 0.500 0.634 (multiplicity 2)
O: 0.259 0.281 0.157 (multiplicity 4)

***

Calculated total energy in eV/atom, matching the order above: -6.76, -6.52